# SrLiSmGa

A geometry-optimized SrLiSmGa structure (PBE, Alexandria).

a b c (Å): 5.399 5.399 5.399
angles (deg): 60.00 60.00 60.00
Element x y z (fractional)
Sr 0.500 0.500 0.500
Ga 0.250 0.250 0.250
Sm 0.000 0.000 0.000
Li 0.750 0.750 0.750

## Properties
magnetization: 0.00 μB/f.u.
calculated volume: 27.82 Å³ per atom
SG: F-43m, No. 216
total energy: -3.019 eV/atom